Record 1
The following is a DFT calculation (PBE-GGA) of Tm3In3PdPt2 after structural relaxation.

Unit cell a=7.6869 b=7.6869 c=3.7622 alpha=90.00 beta=90.00 gamma=120.00
Space group P-62m (No. 189)
Inequivalent atoms, fractional coordinates:
1 Tm 0.0000 0.5920 0.0000
2 In 0.0000 0.2617 0.5000
3 Pd 0.0000 0.0000 0.0000
4 Pt 0.3333 0.6667 0.5000

Calculated values
VASP energy   -47.54 eV for the cell shown
Crystal system   hexagonal
V   21.39 Å³/atom

Record 2
The following is a DFT calculation (PBE-GGA) of TaZnFeBi after structural relaxation.

Unit cell a=6.5114 b=6.5114 c=6.5114 alpha=90.00 beta=90.00 gamma=90.00
Space group F-43m (No. 216)
Inequivalent atoms, fractional coordinates:
1 Ta 0.0000 0.0000 0.0000
2 Zn 0.2500 0.2500 0.2500
3 Fe 0.2500 0.2500 0.7500
4 Bi 0.0000 0.0000 0.5000

Calculated values
Polymorph energy (0 for the lowest one)   0.00 eV per formula unit
VASP energy   -93.28 eV for the cell shown
Crystal system   cubic
V   17.25 Å³/atom

Record 3
The following is a DFT calculation (PBE-GGA) of Ga20Mo4Se after structural relaxation.

Unit cell a=12.9781 b=12.9781 c=5.3005 alpha=90.00 beta=90.00 gamma=90.00
Space group I4/m (No. 87)
Inequivalent atoms, fractional coordinates:
1 Ga 0.0537 0.2077 0.0000
2 Ga 0.0656 0.6328 0.2502
3 Ga 0.0732 0.8626 0.5000
4 Ga 0.2500 0.2500 0.2500
5 Mo 0.0806 0.2641 0.5000
6 Se 0.0000 0.0000 0.0000

Calculated values
VASP energy   -223.83 eV for the cell shown
Crystal system   tetragonal
V   17.86 Å³/atom

Record 4
The following is a DFT calculation (PBE-GGA) of Lu2InGaFe4 after structural relaxation.

Unit cell a=3.9632 b=4.9355 c=6.8941 alpha=90.00 beta=90.00 gamma=90.00
Space group Pmm2 (No. 25)
Inequivalent atoms, fractional coordinates:
1 Lu 0.0000 0.0000 0.0000
2 Lu 0.0000 0.5000 0.3977
3 In 0.5000 0.0000 0.3482
4 Ga 0.5000 0.5000 0.0390
5 Fe 0.0000 0.0000 0.6153
6 Fe 0.0000 0.5000 0.7988
7 Fe 0.5000 0.2506 0.7066

Calculated values
VASP energy   -50.21 eV for the cell shown
Crystal system   orthorhombic
V   16.86 Å³/atom